Li2YZn: relaxed, GGA-PBE.

Structure (CIF):
```
data_Li2YZn
_chemical_formula_sum 'Li4 Y2 Zn2'
_symmetry_space_group_name_H-M 'C 1 2/m 1'
_symmetry_Int_Tables_number 12
_symmetry_space_group_name_Hall '-C 2y'
_cell_length_a 5.9499
_cell_length_b 10.9110
_cell_length_c 3.2366
_cell_angle_alpha 90.00
_cell_angle_beta 120.78
_cell_angle_gamma 90.00
loop_
_atom_site_label
_atom_site_type_symbol
_atom_site_fract_x
_atom_site_fract_y
_atom_site_fract_z
Li1 Li 0.2500 0.2500 0.0000
Y1 Y 0.0000 0.0000 0.5000
Zn1 Zn 0.0000 0.5000 0.5000
```

- energy of formation from the pure elements (eV per atom) = 0.053
- DOS at the Fermi energy (states/eV per atom) = 0.6928

---

Li2YZn4: relaxed, GGA-PBE.

Structure (CIF):
```
data_Li2YZn4
_chemical_formula_sum 'Li4 Y2 Zn8'
_symmetry_space_group_name_H-M 'I 4/m m m'
_symmetry_Int_Tables_number 139
_symmetry_space_group_name_Hall '-I 4 2'
_cell_length_a 6.9318
_cell_length_b 6.9318
_cell_length_c 4.9453
_cell_angle_alpha 90.00
_cell_angle_beta 90.00
_cell_angle_gamma 90.00
loop_
_atom_site_label
_atom_site_type_symbol
_atom_site_fract_x
_atom_site_fract_y
_atom_site_fract_z
Li1 Li 0.0000 0.5000 0.2500
Y1 Y 0.0000 0.0000 0.0000
Zn1 Zn 0.1919 0.1919 0.5000
```

- energy of formation from the pure elements (eV per atom) = -0.289
- DOS at the Fermi energy (states/eV per atom) = 0.3801